CdInI2O PBE-GGA relaxed; ΔE to the lowest computed polymorph = 140 meV per atom; ΔE_f (raw) = -224 meV per atom; electronic total energy = -12.83 eV per cell; space group = P4/mmm; density of states at the Fermi level = 2.4376 states/eV/atom
1.0
6.1190 0.0000 0.0000
0.0000 6.1190 0.0000
0.0000 0.0000 4.2357
Cd In I O
1 1 2 1
Direct
0.0000 0.0000 0.0000 Cd
0.5000 0.5000 0.5000 In
0.0000 0.5000 0.0000 I
0.5000 0.0000 0.0000 I
0.0000 0.0000 0.5000 O